Computed, not measured: a relaxed structure of CaH3Pt at the PBE level of DFT.

Cell and atoms, written as POSCAR:
```
CaH3Pt
1.0
14.838 0.000 -1.218
5.660 1.785 -2.614
-5.660 1.785 2.614
Ca H Pt
2 6 2
Cartesian
14.946 1.785 -3.087
-0.109 1.785 1.870
5.419 1.785 0.632
12.509 1.785 -0.436
6.734 1.785 -1.747
2.328 1.785 -0.781
8.104 1.785 0.529
9.419 1.785 -1.849
18.218 1.785 -3.587
-3.380 1.785 2.370
```

**Total magnetic moment**: 0.000 μB/atom
**Space-group type**: No. 12
**Raw total energy**: -4.02 eV per atom